Entry 1:
Density functional theory data (PBE) for Ho4Ga12Tc after structural relaxation.

abc: 7.4527 7.4527 7.4527
angles: 109.47 109.47 109.47
Last column: nearest neighbours and their distance in Å.
Fractional coordinates of all 17 atoms:
Ho 0.0000 0.0000 0.5000  12 Ga 3.04-3.06
Ho 0.0000 0.5000 0.0000  12 Ga 3.04-3.06
Ho 0.5000 0.0000 0.0000  12 Ga 3.04-3.06
Ho 0.5000 0.5000 0.5000  12 Ga 3.04-3.06
Ga 0.0000 0.2913 0.2913  1 Tc 2.51, 4 Ga 2.80
Ga 0.0000 0.7087 0.7087  1 Tc 2.51, 4 Ga 2.80
Ga 0.2500 0.5000 0.7500  8 Ga 2.80-3.04, 4 Ho 3.04
Ga 0.2500 0.7500 0.5000  8 Ga 2.80-3.04, 4 Ho 3.04
Ga 0.2913 0.0000 0.2913  1 Tc 2.51, 4 Ga 2.80
Ga 0.2913 0.2913 0.0000  1 Tc 2.51, 4 Ga 2.80
Ga 0.5000 0.2500 0.7500  8 Ga 2.80-3.04, 4 Ho 3.04
Ga 0.5000 0.7500 0.2500  8 Ga 2.80-3.04, 4 Ho 3.04
Ga 0.7087 0.0000 0.7087  1 Tc 2.51, 4 Ga 2.80
Ga 0.7087 0.7087 0.0000  1 Tc 2.51, 4 Ga 2.80
Ga 0.7500 0.2500 0.5000  8 Ga 2.80-3.04, 4 Ho 3.04
Ga 0.7500 0.5000 0.2500  8 Ga 2.80-3.04, 4 Ho 3.04
Tc 0.0000 0.0000 0.0000  6 Ga 2.51

* E: -0.1601 Ha/atom
* total magnetization: 0.000 μB per atom

Entry 2:
Density functional theory data (PBE) for Tb2Sm2Pb after structural relaxation.

abc: 4.4098 4.4098 8.4243
angles: 90.00 90.00 90.00
Last column: nearest neighbours and their distance in Å.
Fractional coordinates of all 5 atoms:
Tb 0.0000 0.0000 0.1724  1 Tb 2.91
Tb 0.0000 0.0000 0.8276  1 Tb 2.91
Sm 0.0000 0.5000 0.5000  4 Sm 3.12
Sm 0.5000 0.0000 0.5000  4 Sm 3.12
Pb 0.5000 0.5000 0.0000  8 Tb 3.44

* E: -0.1551 Ha/atom
* total magnetization: 0.002 μB per atom

Entry 3:
Density functional theory data (PBE) for ZnCoNiAs after structural relaxation.

abc: 4.1661 4.1661 4.1661
angles: 60.00 60.00 60.00
Last column: nearest neighbours and their distance in Å.
Fractional coordinates of all 4 atoms:
Zn 0.0000 0.0000 0.0000  4 As 2.55, 4 Ni 2.55
Co 0.5000 0.5000 0.5000  4 As 2.55, 4 Ni 2.55
Ni 0.7500 0.7500 0.7500  4 Co 2.55, 4 Zn 2.55
As 0.2500 0.2500 0.2500  4 Co 2.55, 4 Zn 2.55

* ΔE to the lowest computed polymorph: 193.3 meV/atom
* E: -0.1657 Ha/atom
* total magnetization: 0.265 μB per atom

Entry 4:
Density functional theory data (PBE) for NaBW after structural relaxation.

abc: 3.9131 3.9131 3.9131
angles: 60.00 60.00 60.00
Last column: nearest neighbours and their distance in Å.
Fractional coordinates of all 3 atoms:
Na 0.0000 0.0000 0.0000  4 B 2.40
B 0.2500 0.2500 0.2500  4 W 2.40, 4 Na 2.40
W 0.5000 0.5000 0.5000  4 B 2.40

* ΔE to the lowest computed polymorph: 0.0 meV/atom
* E: -0.2061 Ha/atom
* total magnetization: 0.005 μB per atom

Entry 5:
Density functional theory data (PBE) for Y3Mg3CuIr2 after structural relaxation.

abc: 7.3967 7.3967 3.9656
angles: 90.00 90.00 120.00
Last column: nearest neighbours and their distance in Å.
Fractional coordinates of all 9 atoms:
Y 0.0000 0.5826 0.0000  4 Ir 2.98, 1 Cu 3.09, 2 Mg 3.17
Y 0.4174 0.4174 0.0000  4 Ir 2.98, 1 Cu 3.09, 2 Mg 3.17
Y 0.5826 0.0000 0.0000  4 Ir 2.98, 1 Cu 3.09, 2 Mg 3.17
Mg 0.0000 0.2477 0.5000  2 Cu 2.70, 2 Ir 2.84
Mg 0.2477 0.0000 0.5000  2 Cu 2.70, 2 Ir 2.84
Mg 0.7523 0.7523 0.5000  2 Cu 2.70, 2 Ir 2.84
Cu 0.0000 0.0000 0.0000  6 Mg 2.70
Ir 0.3333 0.6667 0.5000  3 Mg 2.84, 6 Y 2.98
Ir 0.6667 0.3333 0.5000  3 Mg 2.84, 6 Y 2.98

* E: -0.2051 Ha/atom
* total magnetization: 0.001 μB per atom

Entry 6:
Density functional theory data (PBE) for SrHfB2 after structural relaxation.

abc: 4.5275 4.5275 4.5275
angles: 60.00 60.00 60.00
Last column: nearest neighbours and their distance in Å.
Fractional coordinates of all 4 atoms:
Sr 0.0000 0.0000 0.0000  4 B 2.77, 4 Hf 2.77
Hf 0.2500 0.2500 0.2500  4 B 2.77, 4 Sr 2.77
B 0.5000 0.5000 0.5000  4 Hf 2.77, 4 B 2.77
B 0.7500 0.7500 0.7500  4 B 2.77, 4 Sr 2.77

* E: -0.1620 Ha/atom
* total magnetization: 0.029 μB per atom

Entry 7:
Density functional theory data (PBE) for Co8Ge after structural relaxation.

abc: 4.2851 4.2851 28.2996
angles: 90.26 90.26 48.28
Last column: nearest neighbours and their distance in Å.
Fractional coordinates of all 18 atoms:
Co 0.0481 0.0481 0.1800  9 Co 2.44-2.50, 2 Ge 2.49
Co 0.0488 0.0488 0.9022  12 Co 2.44-2.49
Co 0.1499 0.1499 0.9858  12 Co 2.47-2.49
Co 0.2501 0.2501 0.7910  3 Ge 2.46-2.48, 6 Co 2.46-2.50
Co 0.2517 0.2517 0.0695  12 Co 2.47-2.51
Co 0.3453 0.3453 0.1528  11 Co 2.44-2.51, 1 Ge 2.51
Co 0.3493 0.3493 0.8738  12 Co 2.44-2.51
Co 0.4491 0.4491 0.9580  12 Co 2.47-2.51
Co 0.5509 0.5509 0.0420  12 Co 2.47-2.51
Co 0.6507 0.6507 0.1262  12 Co 2.44-2.51
Co 0.6547 0.6547 0.8472  11 Co 2.44-2.51, 1 Ge 2.51
Co 0.7483 0.7483 0.9305  12 Co 2.47-2.51
Co 0.7499 0.7499 0.2090  3 Ge 2.46-2.48, 6 Co 2.46-2.50
Co 0.8501 0.8501 0.0142  12 Co 2.47-2.49
Co 0.9512 0.9512 0.0978  12 Co 2.44-2.49
Co 0.9519 0.9519 0.8200  9 Co 2.44-2.50, 2 Ge 2.49
Ge 0.4524 0.4524 0.2364  6 Co 2.46-2.51
Ge 0.5476 0.5476 0.7636  6 Co 2.46-2.51

* E: -0.2479 Ha/atom
* total magnetization: 1.340 μB per atom

Q: Which of these has the lowest E?
A: Co8Ge

Q: Which value of total magnetization does entry 1 give?
A: 0.000 μB per atom

Q: The lowest E belongs to which entry?
A: Co8Ge